(1)
K3RbCr: relaxed, PBE.

The total magnetic moment is 5.205 μB per formula unit. The calculation puts the total energy at -9.10 eV for the cell shown. The formation energy is 92.4 kJ per mole of atoms. The calculation puts the offset from the most stable computed form at 417.2 meV per atom.

The structure belongs to space group Pm-3m (No. 221); the cell edges are 7.481, 7.481 and 7.481 Å and the angles 90.00°, 90.00° and 90.00°. The asymmetric unit holds K at (0.000, 0.000, 0.500), Rb at (0.000, 0.000, 0.000) and Cr at (0.500, 0.500, 0.500).

=====

(2)
KRb2Cr: relaxed, PBE.

The total magnetic moment is 5.336 μB per formula unit. The calculation puts the total energy at -38.17 eV for the cell shown. The formation energy is 75.1 kJ per mole of atoms. The calculation puts the offset from the most stable computed form at 104.5 meV per atom.

The structure belongs to space group I-42d (No. 122); the cell edges are 5.953, 5.953 and 26.833 Å and the angles 90.00°, 90.00° and 90.00°. The asymmetric unit holds K at (0.000, 0.000, 0.000), Rb at (0.223, 0.250, 0.625) and Cr at (0.000, 0.000, 0.500).

=====

(3)
K2RbCr: relaxed, PBE.

The total magnetic moment is 5.276 μB per formula unit. The calculation puts the total energy at -40.60 eV for the cell shown. The formation energy is 63.6 kJ per mole of atoms. The calculation puts the offset from the most stable computed form at 0.0 meV per atom.

The structure belongs to space group Fm-3m (No. 225); the cell edges are 9.389, 9.389 and 9.389 Å and the angles 90.00°, 90.00° and 90.00°. The asymmetric unit holds K at (0.250, 0.250, 0.250), Rb at (0.000, 0.000, 0.000) and Cr at (0.000, 0.000, 0.500).

=====

> Among the records above, which one has the highest total magnetic moment?

KRb2Cr